Below is a geometry-optimized K2ReP structure, with properties calculated at the PBE level.

Summary:
Fermi-level density of states: 5.864 states/eV per cell
formation energy from the elements: 1013 meV per atom
magnetic moment: 0.00 μB/f.u.
E above lowest polymorph: 836 meV per atom

a b c (Å): 5.338 11.088 2.789
angles (deg): 90.00 90.00 90.00
Space group Cmmm (No. 65)
One atom of each set of equivalent atoms:
1 K 0.250 0.250 0.000
2 Re 0.000 0.000 0.500
3 P 0.000 0.500 0.500